DFT (PBE) results for Ca2YW after structural relaxation.

Results
* polymorph energy (0 for the lowest one): 0.0000 eV/atom
* ΔE_f: 0.597 eV/atom

Unit cell a=4.2487 b=4.9812 c=10.8653 alpha=90.00 beta=90.00 gamma=90.00
Closest atoms and distances in Å follow each position.
Space group Cmm2 (No. 35)
Asymmetric unit:
Ca: 0.0000 0.0000 0.0000 [2 per cell]  4 Ca 3.27
Ca: 0.0000 0.5000 0.3065 [2 per cell]  4 W 3.10-3.36, 4 Ca 3.27
Y: 0.0000 0.5000 0.7029 [2 per cell]  4 W 2.95-3.22, 4 Y 3.27
W: 0.0000 0.0000 0.5147 [2 per cell]  4 Y 2.95-3.22, 2 Ca 3.10, 4 W 3.27


DFT (PBE) results for Pr5Dy2Tl after structural relaxation.

Results
* polymorph energy (0 for the lowest one): 0.0439 eV/atom
* ΔE_f: -0.002 eV/atom

Unit cell a=3.5284 b=11.4492 c=13.2045 alpha=90.00 beta=90.00 gamma=90.00
Closest atoms and distances in Å follow each position.
Space group Immm (No. 71)
Asymmetric unit:
Pr: 0.0000 0.0000 0.0000 [2 per cell]  10 Pr 3.53-3.65, 2 Dy 3.56
Pr: 0.0000 0.2650 0.3694 [8 per cell]  1 Dy 3.31, 7 Pr 3.45-3.65
Dy: 0.0000 0.0000 0.2698 [4 per cell]  3 Pr 3.31-3.56, 2 Tl 3.51, 2 Dy 3.53
Tl: 0.0000 0.5000 0.0000 [2 per cell]  4 Dy 3.51, 2 Tl 3.53, 8 Pr 3.91


DFT (PBE) results for CsCdTeI2 after structural relaxation.

Results
* polymorph energy (0 for the lowest one): 0.0000 eV/atom
* uncorrected formation energy: -621 meV/atom

Unit cell a=6.2070 b=6.2070 c=5.7098 alpha=90.00 beta=90.00 gamma=90.00
Closest atoms and distances in Å follow each position.
Space group P4/mmm (No. 123)
Asymmetric unit:
Cs: 0.0000 0.0000 0.0000 [1 per cell]  8 I 4.22, 4 Te 4.39
Cd: 0.5000 0.5000 0.5000 [1 per cell]  2 Te 2.85, 4 I 3.10
Te: 0.5000 0.5000 0.0000 [1 per cell]  2 Cd 2.85
I: 0.0000 0.5000 0.5000 [2 per cell]  2 Cd 3.10


DFT (PBE) results for NdEu3Rh after structural relaxation.

Results
* ΔE_f: -0.091 eV/atom

Unit cell a=5.6292 b=5.6292 c=5.6292 alpha=90.00 beta=90.00 gamma=90.00
Closest atoms and distances in Å follow each position.
Space group Pm-3m (No. 221)
Asymmetric unit:
Nd: 0.0000 0.0000 0.0000 [1 per cell]  12 Eu 3.98
Eu: 0.0000 0.5000 0.5000 [3 per cell]  2 Rh 2.81
Rh: 0.5000 0.5000 0.5000 [1 per cell]  6 Eu 2.81


DFT (PBE) results for Tb2Sm15Y2 after structural relaxation.

Results
* ΔE_f: 0.270 eV/atom

Unit cell a=11.2382 b=11.2382 c=18.0625 alpha=90.00 beta=90.00 gamma=120.00
Closest atoms and distances in Å follow each position.
Space group R-3m (No. 166, hexagonal axes)
Asymmetric unit:
Tb: 0.0000 0.0000 0.1826 [6 per cell]  15 Sm 3.98-4.23, 1 Y 4.03
Sm: 0.0000 0.2966 0.5000 [18 per cell]  6 Sm 3.32-3.46
Sm: 0.0000 0.5000 0.0000 [9 per cell]  8 Sm 3.40-3.46, 2 Y 3.50
Sm: 0.0203 0.5102 0.6330 [18 per cell]  6 Sm 3.28-3.40
Y: 0.0000 0.0000 0.4058 [6 per cell]  1 Y 3.40, 9 Sm 3.50-3.74


DFT (PBE) results for Nd2SmZr after structural relaxation.

Results
* polymorph energy (0 for the lowest one): 0.0540 eV/atom
* ΔE_f: 0.180 eV/atom

Unit cell a=4.0970 b=4.0970 c=7.4090 alpha=90.00 beta=90.00 gamma=90.00
Closest atoms and distances in Å follow each position.
Space group P4/mmm (No. 123)
Asymmetric unit:
Nd: 0.0000 0.0000 0.2223 [2 per cell]  1 Nd 3.29, 4 Zr 3.33, 4 Sm 3.55
Sm: 0.5000 0.5000 0.5000 [1 per cell]  8 Nd 3.55, 2 Zr 3.70
Zr: 0.5000 0.5000 0.0000 [1 per cell]  8 Nd 3.33, 2 Sm 3.70


DFT (PBE) results for Mg6Sn3Ir after structural relaxation.

Results
* polymorph energy (0 for the lowest one): 0.0000 eV/atom
* ΔE_f: -0.193 eV/atom

Unit cell a=9.9009 b=9.9844 c=4.6834 alpha=90.00 beta=90.00 gamma=90.00
Closest atoms and distances in Å follow each position.
Space group Pnnm (No. 58)
Asymmetric unit:
Mg: 0.1247 0.2401 0.0000 [4 per cell]  1 Ir 2.70, 1 Mg 2.86, 2 Sn 2.87-2.97
Mg: 0.1413 0.9941 0.5000 [4 per cell]  2 Ir 2.73, 1 Mg 2.80
Mg: 0.1627 0.5460 0.5000 [4 per cell]  3 Mg 2.86-3.08, 3 Sn 2.88-3.08
Sn: 0.0000 0.5000 0.0000 [2 per cell]  6 Mg 2.87-2.88
Sn: 0.1739 0.7837 0.0000 [4 per cell]  1 Ir 2.76, 2 Mg 2.97-3.08
Ir: 0.0000 0.0000 0.0000 [2 per cell]  6 Mg 2.70-2.73, 2 Sn 2.76


DFT (PBE) results for LaSc2Sb after structural relaxation.

Results
* uncorrected formation energy: -555 meV/atom

Unit cell a=4.0589 b=12.0624 c=8.9873 alpha=90.00 beta=90.00 gamma=90.00
Closest atoms and distances in Å follow each position.
Space group Cmcm (No. 63)
Asymmetric unit:
La: 0.0000 0.0492 0.2500 [4 per cell]  3 Sb 3.32-3.41, 8 Sc 3.49-3.59
Sc: 0.0000 0.3595 0.0412 [8 per cell]  3 Sb 2.98-3.03
Sb: 0.0000 0.2334 0.7500 [4 per cell]  6 Sc 2.98-3.03, 2 La 3.32


DFT (PBE) results for Ac2TbY7 after structural relaxation.

Results
* ΔE_f: 0.201 eV/atom

Unit cell a=5.8457 b=8.4125 c=8.4657 alpha=112.62 beta=101.49 gamma=101.17
Closest atoms and distances in Å follow each position.
Space group P-1 (No. 2)
Asymmetric unit:
Ac: 0.0825 0.2206 0.2217 [2 per cell]  1 Tb 3.56, 9 Y 3.57-3.83, 1 Ac 3.91
Tb: 0.0000 0.0000 0.5000 [1 per cell]  4 Y 3.22-3.46, 2 Ac 3.56
Y: 0.0000 0.5000 0.0000 [1 per cell]  4 Y 3.24-3.47, 2 Ac 3.57
Y: 0.3301 0.4768 0.7309 [2 per cell]  4 Y 3.22-3.59
Y: 0.3336 0.7330 0.4761 [2 per cell]  3 Y 3.22-3.59, 1 Tb 3.22
Y: 0.4978 0.1308 0.8709 [2 per cell]  1 Tb 3.46, 6 Y 3.47-3.77, 2 Ac 3.76-3.78


DFT (PBE) results for Ce2DySc after structural relaxation.

Results
* polymorph energy (0 for the lowest one): 0.0162 eV/atom
* ΔE_f: 0.106 eV/atom

Unit cell a=4.7764 b=4.7764 c=4.9720 alpha=90.00 beta=90.00 gamma=90.00
Closest atoms and distances in Å follow each position.
Space group P4/mmm (No. 123)
Asymmetric unit:
Ce: 0.0000 0.5000 0.0000 [2 per cell]  4 Ce 3.38, 4 Dy 3.45, 4 Sc 3.45
Dy: 0.0000 0.0000 0.5000 [1 per cell]  4 Sc 3.38, 8 Ce 3.45
Sc: 0.5000 0.5000 0.5000 [1 per cell]  4 Dy 3.38, 8 Ce 3.45


DFT (PBE) results for ReHg3C after structural relaxation.

Results
* polymorph energy (0 for the lowest one): 0.0000 eV/atom
* ΔE_f: 1.910 eV/atom

Unit cell a=4.6171 b=4.6171 c=4.6171 alpha=90.00 beta=90.00 gamma=90.00
Closest atoms and distances in Å follow each position.
Space group Pm-3m (No. 221)
Asymmetric unit:
Re: 0.0000 0.0000 0.0000 [1 per cell]  12 Hg 3.26
Hg: 0.0000 0.5000 0.5000 [3 per cell]  2 C 2.31
C: 0.5000 0.5000 0.5000 [1 per cell]  6 Hg 2.31


DFT (PBE) results for Cd2SnC after structural relaxation.

Results
* polymorph energy (0 for the lowest one): 0.3543 eV/atom
* ΔE_f: 1.363 eV/atom

Unit cell a=6.8770 b=6.8770 c=6.8770 alpha=90.00 beta=90.00 gamma=90.00
Closest atoms and distances in Å follow each position.
Space group Fm-3m (No. 225)
Asymmetric unit:
Cd: 0.2500 0.2500 0.2500 [8 per cell]  4 C 2.98, 4 Sn 2.98
Sn: 0.0000 0.0000 0.0000 [4 per cell]  8 Cd 2.98
C: 0.0000 0.0000 0.5000 [4 per cell]  8 Cd 2.98


Number 1: total energy -5.258 eV/atom, total magnetization 0.00 μB/cell. Number 2: total energy -4.436 eV/atom, total magnetization 0.00 μB/cell. Number 3: total energy -2.223 eV/atom, total magnetization 0.99 μB/cell. Number 4: total energy -8.679 eV/atom, total magnetization 21.23 μB/cell. Number 5: total energy -4.623 eV/atom, total magnetization 0.00 μB/cell. Number 6: total energy -5.521 eV/atom, total magnetization 0.00 μB/cell. Number 7: total energy -3.237 eV/atom, total magnetization 0.00 μB/cell. Number 8: total energy -5.984 eV/atom, total magnetization 0.01 μB/cell. Number 9: total energy -5.609 eV/atom, total magnetization 0.00 μB/cell. Number 10: total energy -5.594 eV/atom, total magnetization 1.49 μB/cell. Number 11: total energy -2.606 eV/atom, total magnetization 3.20 μB/cell. Number 12: total energy -2.402 eV/atom, total magnetization 0.00 μB/cell.